# 1
DFT (PBE-GGA) results for ScTaP2 after structural relaxation.

Values from the calculation:
- Final energy: -31.55 eV per cell
- E above lowest polymorph: 508.6 meV/atom
- Energy of formation from the pure elements: -2.5 eV per formula unit
- DOS(E_F): 4.87 states/eV/f.u.
- Symmetry: Fm-3m, No. 225
- Total magnetic moment: 0.00 μB/cell

Unit cell a=4.482 b=4.482 c=4.482 alpha=60.00 beta=60.00 gamma=60.00
Atoms (fractional coordinates):
Sc1 0.000 0.000 0.000
P1 0.250 0.250 0.250
P2 0.750 0.750 0.750
Ta1 0.500 0.500 0.500

---

# 2
DFT (PBE-GGA) results for ScTaP2 after structural relaxation.

Values from the calculation:
- Final energy: -33.59 eV per cell
- E above lowest polymorph: 0.0 meV/atom
- Energy of formation from the pure elements: -4.6 eV per formula unit
- DOS(E_F): 0.30 states/eV/f.u.
- Symmetry: R3m, No. 160
- Total magnetic moment: 0.00 μB/cell

Unit cell a=3.558 b=3.558 c=6.610 alpha=74.39 beta=74.39 gamma=60.00
Atoms (fractional coordinates):
Sc1 0.671 0.671 0.986
Ta1 0.497 0.497 0.510
P1 0.086 0.086 0.741
P2 0.246 0.246 0.263

---

# 3
DFT (PBE-GGA) results for ScTaP4 after structural relaxation.

Values from the calculation:
- Final energy: -38.33 eV per cell
- Energy of formation from the pure elements: 1.5 eV per formula unit
- DOS(E_F): 4.71 states/eV/f.u.
- Symmetry: F-43m, No. 216
- Total magnetic moment: 0.00 μB/cell

Unit cell a=5.068 b=5.068 c=5.068 alpha=60.00 beta=60.00 gamma=60.00
Atoms (fractional coordinates):
Sc1 0.250 0.250 0.250
Ta1 0.000 0.000 0.000
P1 0.626 0.626 0.123
P2 0.626 0.123 0.626
P3 0.626 0.626 0.626
P4 0.123 0.626 0.626

---

# 4
DFT (PBE-GGA) results for ScTa2P after structural relaxation.

Values from the calculation:
- Final energy: -36.13 eV per cell
- Energy of formation from the pure elements: -0.7 eV per formula unit
- DOS(E_F): 3.82 states/eV/f.u.
- Symmetry: Cmmm, No. 65
- Total magnetic moment: 0.00 μB/cell

Unit cell a=3.000 b=3.000 c=8.374 alpha=90.00 beta=90.00 gamma=106.88
Atoms (fractional coordinates):
Sc1 0.500 0.500 0.000
Ta1 0.000 0.000 0.293
Ta2 0.000 0.000 0.707
P1 0.500 0.500 0.500

---

# 5
DFT (PBE-GGA) results for ScTa2P after structural relaxation.

Values from the calculation:
- Final energy: -36.15 eV per cell
- Energy of formation from the pure elements: -0.7 eV per formula unit
- DOS(E_F): 3.96 states/eV/f.u.
- Symmetry: R-3m, No. 166
- Total magnetic moment: 0.00 μB/cell

Unit cell a=8.313 b=8.313 c=8.313 alpha=22.81 beta=22.81 gamma=22.81
Atoms (fractional coordinates):
Sc1 0.000 0.000 0.000
Ta1 0.769 0.769 0.769
Ta2 0.231 0.231 0.231
P1 0.500 0.500 0.500

---

# 6
DFT (PBE-GGA) results for ScTa2P after structural relaxation.

Values from the calculation:
- Final energy: -35.74 eV per cell
- Energy of formation from the pure elements: -0.3 eV per formula unit
- DOS(E_F): 4.21 states/eV/f.u.
- Symmetry: I-4m2, No. 119
- Total magnetic moment: 0.00 μB/cell

Unit cell a=5.115 b=5.115 c=5.115 alpha=133.58 beta=133.58 gamma=67.74
Atoms (fractional coordinates):
Sc1 0.750 0.250 0.500
Ta1 0.000 0.000 0.000
Ta2 0.250 0.750 0.500
P1 0.500 0.500 0.000

---

# 7
DFT (PBE-GGA) results for ScTaP after structural relaxation.

Values from the calculation:
- Final energy: -100.67 eV per cell
- Energy of formation from the pure elements: -1.6 eV per formula unit
- DOS(E_F): 1.99 states/eV/f.u.
- Symmetry: C2/m, No. 12
- Total magnetic moment: 0.00 μB/cell

Unit cell a=4.176 b=7.285 c=8.287 alpha=92.53 beta=104.59 gamma=90.00
Atoms (fractional coordinates):
Sc1 0.093 0.376 0.186
Sc2 0.454 0.179 0.909
Sc3 0.546 0.821 0.091
Sc4 0.907 0.624 0.814
Ta1 0.243 0.638 0.486
Ta2 0.757 0.884 0.514
Ta3 0.757 0.362 0.514
Ta4 0.243 0.116 0.486
P1 0.349 0.404 0.697
P2 0.635 0.128 0.271
P3 0.651 0.596 0.303
P4 0.365 0.872 0.729

---

# 8
DFT (PBE-GGA) results for ScTa2P after structural relaxation.

Values from the calculation:
- Final energy: -35.58 eV per cell
- Energy of formation from the pure elements: -0.1 eV per formula unit
- DOS(E_F): 1.90 states/eV/f.u.
- Symmetry: F-43m, No. 216
- Total magnetic moment: 0.00 μB/cell

Unit cell a=4.587 b=4.587 c=4.587 alpha=60.00 beta=60.00 gamma=60.00
Atoms (fractional coordinates):
Sc1 0.250 0.250 0.250
Ta1 0.000 0.000 0.000
Ta2 0.750 0.750 0.750
P1 0.500 0.500 0.500

---

# 9
DFT (PBE-GGA) results for ScTaP after structural relaxation.

Values from the calculation:
- Final energy: -24.90 eV per cell
- Energy of formation from the pure elements: -1.3 eV per formula unit
- DOS(E_F): 3.43 states/eV/f.u.
- Symmetry: Fmm2, No. 42
- Total magnetic moment: 0.00 μB/cell

Unit cell a=6.365 b=6.147 c=3.090 alpha=79.64 beta=71.83 gamma=28.53
Atoms (fractional coordinates):
Sc1 0.650 0.650 0.350
Ta1 0.356 0.356 0.644
P1 0.995 0.995 0.005

---

# 10
DFT (PBE-GGA) results for ScTaP2 after structural relaxation.

Values from the calculation:
- Final energy: -33.15 eV per cell
- E above lowest polymorph: 108.6 meV/atom
- Energy of formation from the pure elements: -4.1 eV per formula unit
- DOS(E_F): 1.57 states/eV/f.u.
- Symmetry: R-3m, No. 166
- Total magnetic moment: 0.00 μB/cell

Unit cell a=3.626 b=3.626 c=6.389 alpha=73.54 beta=73.54 gamma=59.96
Atoms (fractional coordinates):
P1 0.997 0.997 0.009
P2 0.503 0.503 0.491
Sc1 0.750 0.750 0.750
Ta1 0.250 0.250 0.250

---

# 11
DFT (PBE-GGA) results for ScTaP2 after structural relaxation.

Values from the calculation:
- Final energy: -32.75 eV per cell
- E above lowest polymorph: 209.0 meV/atom
- Energy of formation from the pure elements: -3.7 eV per formula unit
- DOS(E_F): 3.25 states/eV/f.u.
- Symmetry: Imm2, No. 44
- Total magnetic moment: 0.15 μB/cell

Unit cell a=6.544 b=6.544 c=6.544 alpha=150.13 beta=149.96 gamma=42.88
Atoms (fractional coordinates):
P1 0.052 0.052 0.000
P2 0.787 0.287 0.500
Sc1 0.458 0.458 0.000
Ta1 0.203 0.703 0.500

---

# 12
DFT (PBE-GGA) results for Sc2TaP2 after structural relaxation.

Values from the calculation:
- Final energy: -73.86 eV per cell
- E above lowest polymorph: 748.0 meV/atom
- Energy of formation from the pure elements: -1.6 eV per formula unit
- DOS(E_F): 4.03 states/eV/f.u.
- Symmetry: P4/mbm, No. 127
- Total magnetic moment: 0.00 μB/cell

Unit cell a=7.347 b=7.347 c=3.270 alpha=90.00 beta=90.00 gamma=90.00
Atoms (fractional coordinates):
Sc1 0.364 0.864 0.000
Sc2 0.864 0.636 0.000
Sc3 0.636 0.136 0.000
Sc4 0.136 0.364 0.000
P1 0.172 0.672 0.500
P2 0.672 0.828 0.500
P3 0.828 0.328 0.500
P4 0.328 0.172 0.500
Ta1 0.000 0.000 0.000
Ta2 0.500 0.500 0.000